Here is OsSeF2 at its PBEsol-relaxed geometry from Alexandria via LeMat-Bulk. Energies are from meta-GGA SCAN.

The density of states at the Fermi level comes out at 6.95 states/eV/cell. For the uncorrected formation energy, the calculation gives -662 meV per atom.

The structure belongs to space group R-3m (No. 166, hexagonal axes); the cell edges are 2.6795, 2.6795 and 29.4249 Å and the angles 90.00°, 90.00° and 120.00°. Symmetry generates all atoms from Os at (0.0000, 0.0000, 0.0000), Se at (0.0000, 0.0000, 0.5000) and F at (0.0000, 0.0000, 0.0639).